Compound: Na2Co2O5
Source: the Open Quantum Materials Database
Functional: PBE+U
Structure: optimized geometry

Calculated values
- calculated total energy (eV/atom) = -4.9533
- energy above the lowest structure with this stoichiometry (eV/atom) = 0.000

Lattice parameters (Å, degrees): 7.493 3.640 3.640 90.00 90.00 90.00
Atoms (fractional coordinates):
Co  0.256  0.500  0.500
Co  0.744  0.500  0.500
O  0.788  0.500  0.000
O  0.500  0.500  0.500
O  0.788  0.000  0.500
O  0.212  0.500  0.000
O  0.212  0.000  0.500
Na  0.000  0.000  0.000
Na  0.500  0.000  0.000